A:
First-principles (PBE-GGA) data for an optimized crystal structure of AcPuRu2, as listed in the Alexandria database.

a = 4.9925 Å, b = 4.9925 Å, c = 3.5561 Å
α = 90.00°, β = 90.00°, γ = 90.00°
Closest atoms and distances in Å follow each position.
Positions (direct):
Ac 0.0000 0.0000 0.0000  8 Ru 3.06
Pu 0.5000 0.5000 0.0000  8 Ru 3.06
Ru 0.0000 0.5000 0.5000  4 Ac 3.06, 4 Pu 3.06
Ru 0.5000 0.0000 0.5000  4 Ac 3.06, 4 Pu 3.06

=====

B:
First-principles (PBE-GGA) data for an optimized crystal structure of AcPuRu2, as listed in the Alexandria database.

a = 7.4702 Å, b = 6.6103 Å, c = 7.5736 Å
α = 90.00°, β = 90.00°, γ = 90.00°
Closest atoms and distances in Å follow each position.
Positions (direct):
Ac 0.0133 0.2500 0.1712  6 Ru 3.07-3.31
Ac 0.4867 0.7500 0.6712  6 Ru 3.07-3.31
Ac 0.5133 0.2500 0.3288  6 Ru 3.07-3.31
Ac 0.9867 0.7500 0.8288  6 Ru 3.07-3.31
Pu 0.1652 0.2500 0.6671  4 Ru 2.61-2.74
Pu 0.3348 0.7500 0.1671  4 Ru 2.61-2.74
Pu 0.6652 0.2500 0.8329  4 Ru 2.61-2.74
Pu 0.8348 0.7500 0.3329  4 Ru 2.61-2.74
Ru 0.1737 0.5467 0.4393  2 Pu 2.61-2.74, 2 Ru 2.69-2.82
Ru 0.1737 0.9533 0.4393  2 Pu 2.61-2.74, 2 Ru 2.69-2.82
Ru 0.3263 0.0467 0.9393  2 Pu 2.61-2.74, 2 Ru 2.69-2.82
Ru 0.3263 0.4533 0.9393  2 Pu 2.61-2.74, 2 Ru 2.69-2.82
Ru 0.6737 0.5467 0.0607  2 Pu 2.61-2.74, 2 Ru 2.69-2.82
Ru 0.6737 0.9533 0.0607  2 Pu 2.61-2.74, 2 Ru 2.69-2.82
Ru 0.8263 0.0467 0.5607  2 Pu 2.61-2.74, 2 Ru 2.69-2.82
Ru 0.8263 0.4533 0.5607  2 Pu 2.61-2.74, 2 Ru 2.69-2.82

=====

Structures ranked by computed energy, the most stable listed first: B, A.

=====

A:
First-principles (PBE-GGA) data for an optimized crystal structure of AcPuRu2, as listed in the Alexandria database.

a = 7.0654 Å, b = 7.0654 Å, c = 7.0654 Å
α = 90.00°, β = 90.00°, γ = 90.00°
Closest atoms and distances in Å follow each position.
Positions (direct):
Ac 0.0000 0.0000 0.0000  8 Ru 3.06
Ac 0.0000 0.5000 0.5000  8 Ru 3.06
Ac 0.5000 0.0000 0.5000  8 Ru 3.06
Ac 0.5000 0.5000 0.0000  8 Ru 3.06
Pu 0.0000 0.0000 0.5000  8 Ru 3.06
Pu 0.0000 0.5000 0.0000  8 Ru 3.06
Pu 0.5000 0.0000 0.0000  8 Ru 3.06
Pu 0.5000 0.5000 0.5000  8 Ru 3.06
Ru 0.2500 0.2500 0.2500  4 Ac 3.06, 4 Pu 3.06
Ru 0.2500 0.2500 0.7500  4 Ac 3.06, 4 Pu 3.06
Ru 0.2500 0.7500 0.2500  4 Ac 3.06, 4 Pu 3.06
Ru 0.2500 0.7500 0.7500  4 Ac 3.06, 4 Pu 3.06
Ru 0.7500 0.2500 0.2500  4 Ac 3.06, 4 Pu 3.06
Ru 0.7500 0.2500 0.7500  4 Ac 3.06, 4 Pu 3.06
Ru 0.7500 0.7500 0.2500  4 Ac 3.06, 4 Pu 3.06
Ru 0.7500 0.7500 0.7500  4 Ac 3.06, 4 Pu 3.06

=====

B:
First-principles (PBE-GGA) data for an optimized crystal structure of AcPuRu2, as listed in the Alexandria database.

a = 3.4137 Å, b = 3.4137 Å, c = 7.5339 Å
α = 90.00°, β = 90.00°, γ = 90.00°
Closest atoms and distances in Å follow each position.
Positions (direct):
Ac 0.0000 0.0000 0.0000  8 Ru 3.30, 4 Ac 3.41
Pu 0.0000 0.0000 0.5000  8 Ru 2.85
Ru 0.5000 0.5000 0.2994  4 Pu 2.85, 1 Ru 3.02
Ru 0.5000 0.5000 0.7006  4 Pu 2.85, 1 Ru 3.02

=====

Structures ranked by computed energy, the most stable listed first: B, A.

=====

A:
First-principles (PBE-GGA) data for an optimized crystal structure of AcPuRu, as listed in the Alexandria database.

a = 4.4265 Å, b = 4.4265 Å, c = 4.9705 Å
α = 90.00°, β = 90.00°, γ = 120.00°
Closest atoms and distances in Å follow each position.
Positions (direct):
Ac 0.0000 0.0000 0.0000  6 Ru 3.56, 6 Pu 3.56
Pu 0.6667 0.3333 0.5000  3 Ru 2.56
Ru 0.3333 0.6667 0.5000  3 Pu 2.56

=====

B:
First-principles (PBE-GGA) data for an optimized crystal structure of AcPuRu, as listed in the Alexandria database.

a = 4.3081 Å, b = 4.8669 Å, c = 7.8148 Å
α = 91.79°, β = 90.05°, γ = 90.09°
Closest atoms and distances in Å follow each position.
Positions (direct):
Ac 0.2502 0.2452 0.3621  3 Ru 3.21-3.30, 1 Pu 3.54
Ac 0.7498 0.7548 0.6379  3 Ru 3.21-3.30, 1 Pu 3.54
Pu 0.2503 0.7617 0.0141  3 Ru 2.72-2.73
Pu 0.7497 0.2383 0.9859  3 Ru 2.72-2.73
Ru 0.2487 0.3322 0.7822  3 Pu 2.72-2.73
Ru 0.7513 0.6678 0.2178  3 Pu 2.72-2.73

=====

C:
First-principles (PBE-GGA) data for an optimized crystal structure of AcPuRu, as listed in the Alexandria database.

a = 3.7411 Å, b = 3.7411 Å, c = 12.6299 Å
α = 90.00°, β = 90.00°, γ = 120.00°
Closest atoms and distances in Å follow each position.
Positions (direct):
Ac 0.0000 0.0000 0.1561  3 Ru 2.95
Ac 0.0000 0.0000 0.8439  3 Ru 2.95
Pu 0.3333 0.6667 0.5517  3 Pu 2.52, 3 Ru 2.74
Pu 0.6667 0.3333 0.4483  3 Pu 2.52, 3 Ru 2.74
Ru 0.3333 0.6667 0.3153  4 Pu 2.74-2.99, 3 Ac 2.95
Ru 0.6667 0.3333 0.6847  4 Pu 2.74-2.99, 3 Ac 2.95

=====

Structures ranked by computed energy, the most stable listed first: B, A, C.

=====

A:
First-principles (PBE-GGA) data for an optimized crystal structure of AcPuS3, as listed in the Alexandria database.

a = 7.6503 Å, b = 4.1768 Å, c = 15.6661 Å
α = 90.00°, β = 90.00°, γ = 90.00°
Closest atoms and distances in Å follow each position.
Positions (direct):
Ac 0.1364 0.2500 0.1984  8 S 2.97-3.26
Ac 0.3636 0.7500 0.6984  8 S 2.97-3.26
Ac 0.6364 0.2500 0.3016  8 S 2.97-3.26
Ac 0.8636 0.7500 0.8016  8 S 2.97-3.26
Pu 0.2218 0.7500 0.4588  6 S 2.80-2.87
Pu 0.2782 0.2500 0.9588  6 S 2.80-2.87
Pu 0.7218 0.7500 0.0412  6 S 2.80-2.87
Pu 0.7782 0.2500 0.5412  6 S 2.80-2.87
S 0.0121 0.2500 0.3976  3 Pu 2.80-2.87
S 0.1320 0.7500 0.0553  3 Pu 2.81-3.15, 2 Ac 3.06
S 0.1558 0.2500 0.7872  1 Pu 2.85, 4 Ac 2.97-3.07
S 0.3442 0.7500 0.2872  1 Pu 2.85, 4 Ac 2.97-3.07
S 0.3680 0.2500 0.5553  3 Pu 2.81-3.15, 2 Ac 3.06
S 0.4879 0.7500 0.8976  3 Pu 2.80-2.87
S 0.5121 0.2500 0.1024  3 Pu 2.80-2.87
S 0.6320 0.7500 0.4447  3 Pu 2.81-3.15, 2 Ac 3.06
S 0.6558 0.2500 0.7128  1 Pu 2.85, 4 Ac 2.97-3.07
S 0.8442 0.7500 0.2128  1 Pu 2.85, 4 Ac 2.97-3.07
S 0.8680 0.2500 0.9447  3 Pu 2.81-3.15, 2 Ac 3.06
S 0.9879 0.7500 0.6024  3 Pu 2.80-2.87

=====

B:
First-principles (PBE-GGA) data for an optimized crystal structure of AcPuS3, as listed in the Alexandria database.

a = 4.1712 Å, b = 6.6438 Å, c = 9.0368 Å
α = 90.00°, β = 90.00°, γ = 90.00°
Closest atoms and distances in Å follow each position.
Positions (direct):
Ac 0.2500 0.2500 0.1470  6 S 2.92-3.13
Ac 0.7500 0.7500 0.8530  6 S 2.92-3.13
Pu 0.2500 0.7500 0.4043  7 S 2.79-2.93
Pu 0.7500 0.2500 0.5957  7 S 2.79-2.93
S 0.2500 0.5136 0.6613  3 Pu 2.79-2.80
S 0.2500 0.7500 0.0798  2 Ac 2.92, 1 Pu 2.93
S 0.2500 0.9864 0.6613  3 Pu 2.79-2.80
S 0.7500 0.0136 0.3387  3 Pu 2.79-2.80
S 0.7500 0.2500 0.9202  2 Ac 2.92, 1 Pu 2.93
S 0.7500 0.4864 0.3387  3 Pu 2.79-2.80

=====

Structures ranked by computed energy, the most stable listed first: A, B.

=====

A:
First-principles (PBE-GGA) data for an optimized crystal structure of AcPuS, as listed in the Alexandria database.

a = 3.6241 Å, b = 3.6241 Å, c = 13.2725 Å
α = 90.00°, β = 90.00°, γ = 90.00°
Closest atoms and distances in Å follow each position.
Positions (direct):
Ac 0.0000 0.0000 0.0000  4 S 3.27, 1 Pu 3.48, 4 Ac 3.62
Ac 0.5000 0.5000 0.5000  4 S 3.27, 1 Pu 3.48, 4 Ac 3.62
Pu 0.0000 0.0000 0.7375  4 S 2.95
Pu 0.5000 0.5000 0.2375  4 S 2.95
S 0.0000 0.0000 0.3474  4 Pu 2.95, 4 Ac 3.27
S 0.5000 0.5000 0.8474  4 Pu 2.95, 4 Ac 3.27

=====

B:
First-principles (PBE-GGA) data for an optimized crystal structure of AcPuS, as listed in the Alexandria database.

a = 4.0036 Å, b = 5.5816 Å, c = 8.3471 Å
α = 90.00°, β = 90.00°, γ = 90.00°
Closest atoms and distances in Å follow each position.
Positions (direct):
Ac 0.2500 0.2500 0.1270  2 S 3.04
Ac 0.7500 0.7500 0.8730  2 S 3.04
Pu 0.2500 0.2500 0.6279  4 S 2.76-2.80
Pu 0.7500 0.7500 0.3721  4 S 2.76-2.80
S 0.2500 0.7500 0.5989  4 Pu 2.76-2.80, 2 Ac 3.04
S 0.7500 0.2500 0.4011  4 Pu 2.76-2.80, 2 Ac 3.04

=====

Structures ranked by computed energy, the most stable listed first: B, A.

=====

A:
First-principles (PBE-GGA) data for an optimized crystal structure of AcPuSeS, as listed in the Alexandria database.

a = 4.1961 Å, b = 4.1961 Å, c = 21.0216 Å
α = 90.00°, β = 90.00°, γ = 120.00°
Closest atoms and distances in Å follow each position.
Positions (direct):
Ac 0.0000 0.0000 0.0000  3 S 3.03, 3 Se 3.14
Ac 0.3333 0.6667 0.6667  3 S 3.03, 3 Se 3.14
Ac 0.6667 0.3333 0.3333  3 S 3.03, 3 Se 3.14
Pu 0.0000 0.0000 0.5097  3 S 2.84, 3 Se 2.96
Pu 0.3333 0.6667 0.1764  3 S 2.84, 3 Se 2.96
Pu 0.6667 0.3333 0.8431  3 S 2.84, 3 Se 2.96
Se 0.0000 0.0000 0.7621  3 Pu 2.96, 3 Ac 3.14
Se 0.3333 0.6667 0.4287  3 Pu 2.96, 3 Ac 3.14
Se 0.6667 0.3333 0.0954  3 Pu 2.96, 3 Ac 3.14
S 0.0000 0.0000 0.2466  3 Pu 2.84, 3 Ac 3.03
S 0.3333 0.6667 0.9133  3 Pu 2.84, 3 Ac 3.03
S 0.6667 0.3333 0.5799  3 Pu 2.84, 3 Ac 3.03

=====

B:
First-principles (PBE-GGA) data for an optimized crystal structure of AcPuSeS, as listed in the Alexandria database.

a = 7.3605 Å, b = 7.3605 Å, c = 7.3605 Å
α = 90.00°, β = 90.00°, γ = 90.00°
Closest atoms and distances in Å follow each position.
Positions (direct):
Ac 0.0000 0.0000 0.0000  4 Se 3.19, 4 S 3.19
Ac 0.0000 0.5000 0.5000  4 Se 3.19, 4 S 3.19
Ac 0.5000 0.0000 0.5000  4 Se 3.19, 4 S 3.19
Ac 0.5000 0.5000 0.0000  4 Se 3.19, 4 S 3.19
Pu 0.0000 0.0000 0.5000  4 S 3.19, 4 Se 3.19
Pu 0.0000 0.5000 0.0000  4 S 3.19, 4 Se 3.19
Pu 0.5000 0.0000 0.0000  4 S 3.19, 4 Se 3.19
Pu 0.5000 0.5000 0.5000  4 S 3.19, 4 Se 3.19
Se 0.2500 0.2500 0.2500  4 Pu 3.19, 4 Ac 3.19
Se 0.2500 0.7500 0.7500  4 Pu 3.19, 4 Ac 3.19
Se 0.7500 0.2500 0.7500  4 Pu 3.19, 4 Ac 3.19
Se 0.7500 0.7500 0.2500  4 Pu 3.19, 4 Ac 3.19
S 0.2500 0.2500 0.7500  4 Ac 3.19, 4 Pu 3.19
S 0.2500 0.7500 0.2500  4 Ac 3.19, 4 Pu 3.19
S 0.7500 0.2500 0.2500  4 Ac 3.19, 4 Pu 3.19
S 0.7500 0.7500 0.7500  4 Ac 3.19, 4 Pu 3.19

=====

Structures ranked by computed energy, the most stable listed first: A, B.